Density functional theory data (GGA-PBE) for a relaxed structure of ScAg2.

The structure belongs to space group P6/mmm (No. 191); the cell edges are 4.7102, 4.7102 and 3.0790 Å and the angles 90.00°, 90.00° and 120.00°. The asymmetric unit holds Sc at (0.0000, 0.0000, 0.0000) and Ag at (0.3333, 0.6667, 0.5000).

The calculation puts the volume at 59.2 Å³/f.u. For the formation energy from the elements, the calculation gives -0.46 eV per formula unit. As for the density: 7.32 g cm⁻³.

Density functional theory data (GGA-PBE) for a relaxed structure of Er3SeS2.

The structure belongs to space group Immm (No. 71); the cell edges are 3.928, 5.539 and 11.771 Å and the angles 90.00°, 90.00° and 90.00°. The asymmetric unit holds Er at (0.000, 0.000, 0.000), Er at (0.000, 0.000, 0.321), Se at (0.000, 0.500, 0.000) and S at (0.000, 0.500, 0.337).

The calculation puts the volume at 128.1 Å³/f.u. As for the density: 8.36 g cm⁻³. Its uncorrected formation energy is -1.856 eV per atom.

Density functional theory data (GGA-PBE) for a relaxed structure of La3Ho2Th2.

The structure belongs to space group C2/m (No. 12); the cell edges are 17.648, 3.516 and 8.728 Å and the angles 90.00°, 119.55° and 90.00°. The asymmetric unit holds La at (0.000, 0.000, 0.000), La at (0.217, 0.000, 0.146), Ho at (0.062, 0.500, 0.716) and Th at (0.150, 0.000, 0.460).

The calculation puts the volume at 235.5 Å³/f.u. For the formation energy from the elements, the calculation gives 0.90 eV per formula unit. As for the density: 8.54 g cm⁻³.

Density functional theory data (GGA-PBE) for a relaxed structure of BaH3Pd.

The structure belongs to space group R-3m (No. 166, hexagonal axes); the cell edges are 5.2203, 5.2203 and 16.9080 Å and the angles 90.00°, 90.00° and 120.00°. The asymmetric unit holds Ba at (0.0000, 0.0000, 0.1093), H at (0.9997, 0.4998, 0.0666) and Pd at (0.0000, 0.0000, 0.3308).

The calculation puts the volume at 66.5 Å³/f.u. For the total DFT energy (no corrections), the calculation gives -3.785 eV per atom. As for the density: 6.16 g cm⁻³.

Density functional theory data (GGA-PBE) for a relaxed structure of AgSbP4.

The structure belongs to space group F-43m (No. 216); the cell edges are 8.080, 8.080 and 8.080 Å and the angles 90.00°, 90.00° and 90.00°. The asymmetric unit holds Ag at (0.000, 0.000, 0.000), Sb at (0.250, 0.250, 0.250) and P at (0.152, 0.152, 0.652).

The calculation puts the volume at 131.9 Å³/f.u. As for the density: 4.45 g cm⁻³. Its uncorrected formation energy is 0.596 eV per atom.

Density functional theory data (GGA-PBE) for a relaxed structure of Cd4AgW.

The structure belongs to space group F-43m (No. 216); the cell edges are 7.915, 7.915 and 7.915 Å and the angles 90.00°, 90.00° and 90.00°. The asymmetric unit holds Cd at (0.125, 0.125, 0.125), Ag at (0.000, 0.000, 0.500) and W at (0.250, 0.250, 0.750).

The calculation puts the volume at 124.0 Å³/f.u. For the formation energy from the elements, the calculation gives 4.58 eV per formula unit. As for the density: 9.93 g cm⁻³.

Density functional theory data (GGA-PBE) for a relaxed structure of Nd8Al2Ag3.

The structure belongs to space group C2/m (No. 12); the cell edges are 17.479, 8.181 and 5.252 Å and the angles 90.00°, 92.79° and 90.00°. The asymmetric unit holds Nd at (0.053, 0.000, 0.247), Nd at (0.153, 0.209, 0.740), Nd at (0.161, 0.500, 0.228), Al at (0.227, 0.000, 0.250), Ag at (0.000, 0.331, 0.000) and Ag at (0.000, 0.500, 0.500).

The calculation puts the volume at 375.1 Å³/f.u. For the formation energy from the elements, the calculation gives -1.23 eV per formula unit. As for the density: 6.78 g cm⁻³.

Density functional theory data (GGA-PBE) for a relaxed structure of Tb8Cu2Bi.

The structure belongs to space group C2/m (No. 12); the cell edges are 8.719, 13.490 and 5.491 Å and the angles 90.00°, 105.37° and 90.00°. The asymmetric unit holds Tb at (0.000, 0.246, 0.000), Tb at (0.099, 0.500, 0.799), Tb at (0.205, 0.125, 0.592), Cu at (0.000, 0.305, 0.500) and Bi at (0.000, 0.000, 0.000).

The calculation puts the volume at 311.4 Å³/f.u. For the formation energy from the elements, the calculation gives -1.41 eV per formula unit. As for the density: 8.57 g cm⁻³.

Density functional theory data (GGA-PBE) for a relaxed structure of Si2Pd8Pb.

The structure belongs to space group C2/m (No. 12); the cell edges are 15.153, 3.861 and 6.451 Å and the angles 90.00°, 111.41° and 90.00°. The asymmetric unit holds Si at (0.192, 0.000, 0.190), Pd at (0.040, 0.000, 0.236), Pd at (0.097, 0.500, 0.981), Pd at (0.179, 0.500, 0.452), Pd at (0.198, 0.000, 0.812) and Pb at (0.000, 0.500, 0.500).

The calculation puts the volume at 175.7 Å³/f.u. As for the density: 10.54 g cm⁻³. Its uncorrected formation energy is -0.492 eV per atom.

Density functional theory data (GGA-PBE) for a relaxed structure of PrNd3Hg4.

The structure belongs to space group Immm (No. 71); the cell edges are 3.816, 7.765 and 16.638 Å and the angles 90.00°, 90.00° and 90.00°. The asymmetric unit holds Pr at (0.000, 0.000, 0.000), Nd at (0.000, 0.000, 0.500), Nd at (0.000, 0.500, 0.298) and Hg at (0.000, 0.299, 0.131).

The calculation puts the volume at 246.5 Å³/f.u. For the formation energy from the elements, the calculation gives -2.63 eV per formula unit. As for the density: 9.27 g cm⁻³.

Density functional theory data (GGA-PBE) for a relaxed structure of SrIn3Hg.

The structure belongs to space group Cmcm (No. 63); the cell edges are 6.752, 12.797 and 6.695 Å and the angles 90.00°, 90.00° and 90.00°. The asymmetric unit holds Sr at (0.000, 0.247, 0.250), In at (0.000, 0.138, 0.750), In at (0.242, 0.500, 0.000) and Hg at (0.000, 0.355, 0.750).

The calculation puts the volume at 144.6 Å³/f.u. For the formation energy from the elements, the calculation gives -1.52 eV per formula unit. As for the density: 7.26 g cm⁻³.

Density functional theory data (GGA-PBE) for a relaxed structure of LaSbH.

The structure belongs to space group C2/m (No. 12); the cell edges are 11.886, 4.427 and 6.361 Å and the angles 90.00°, 122.28° and 90.00°. The asymmetric unit holds La at (0.205, 0.000, 0.234), Sb at (0.014, 0.500, 0.780) and H at (0.217, 0.000, 0.609).

The calculation puts the volume at 70.7 Å³/f.u. For the total DFT energy (no corrections), the calculation gives -4.923 eV per atom. As for the density: 6.14 g cm⁻³.